Here is a relaxed structure of Mn6Ge2HN from the Alexandria database. Energies are from GGA-PBE. Values from VASP.

Output
**Symmetry**: P4/mmm, No. 123
**Calculated density**: 7.74 g/cm3
**VASP energy**: -77.61 eV per cell

Quantum ESPRESSO input file:
```
&SYSTEM
  ibrav = 0, nat = 10, ntyp = 4
/
ATOMIC_SPECIES
Mn 54.94 Mn.upf
Ge 72.64 Ge.upf
H 1.01 H.upf
N 14.01 N.upf
ATOMIC_POSITIONS angstrom
Mn 1.8760 1.8760 1.8551
Mn 0.0000 1.8760 0.0000
Mn 1.8760 0.0000 3.7321
Mn 1.8760 0.0000 0.0000
Mn 0.0000 1.8760 3.7321
Mn 1.8760 1.8760 5.6090
Ge 0.0000 0.0000 1.8014
Ge 0.0000 0.0000 5.6628
H 1.8760 1.8760 0.0000
N 1.8760 1.8760 3.7321
CELL_PARAMETERS angstrom
3.7521 0.0000 0.0000
0.0000 3.7521 0.0000
0.0000 0.0000 7.4642
```